Computed, not measured: crystalline La2PrSmDy5 at its relaxed geometry at the GGA-PBE level of DFT.

Results
Space-group type   I4/mcm, No. 140
VASP energy   -4.464 eV per atom
Formation energy from the elements   243 meV per atom
Crystal system   tetragonal

abc: 8.736 8.736 10.044
angles: 115.78 115.78 90.00
Element x y z (fractional)
1 La 0.118 0.382 0.000
2 La 0.618 0.118 0.000
3 La 0.382 0.882 0.000
4 La 0.882 0.618 0.000
5 Pr 0.250 0.250 0.500
6 Pr 0.750 0.750 0.500
7 Sm 0.250 0.750 0.500
8 Sm 0.750 0.250 0.500
9 Dy 0.926 0.426 0.280
10 Dy 0.646 0.146 0.720
11 Dy 0.074 0.574 0.720
12 Dy 0.146 0.074 0.720
13 Dy 0.574 0.646 0.720
14 Dy 0.854 0.926 0.280
15 Dy 0.426 0.354 0.280
16 Dy 0.354 0.854 0.280
17 Dy 0.500 0.500 0.000
18 Dy 0.000 0.000 0.000